Density functional theory data (PBE-GGA) for MgZrNb2N4 after structural relaxation.

Results
The calculation puts the theoretical density at 6.67 g/cm3. The volume is 89 Å³/cell. The value obtained for the uncorrected formation energy is -1.1762 eV per atom. As for the total energy: -9.12 eV/atom.

a b c (Å): 5.4160 3.1355 5.5355
angles (deg): 90.00 108.74 90.00
With the nearest neighbours (Å) after each atom.
Space group P2/m (No. 10)
Symmetry-distinct sites (fractional):
Mg 0.0000 0.0000 0.0000 x1  6 N 2.18-2.22
Zr 0.5000 0.5000 0.0000 x1  6 N 2.25
Nb 0.0000 0.5000 0.5000 x1  6 N 2.20-2.22
Nb 0.5000 0.0000 0.5000 x1  6 N 2.25-2.27
N 0.2412 0.0000 0.7510 x2  1 Mg 2.18, 3 Nb 2.22-2.27, 2 Zr 2.25
N 0.2447 0.5000 0.2497 x2  3 Nb 2.20-2.25, 2 Mg 2.22, 1 Zr 2.25

---

Density functional theory data (PBE-GGA) for Pr2MnGe5 after structural relaxation.

Results
The calculation puts the theoretical density at 6.65 g/cm3. The formation energy comes out at -8.9 kcal/mol of atoms. The volume is 350 Å³/cell. As for the total energy: -5.61 eV/atom.

a b c (Å): 6.1884 6.1884 9.1317
angles (deg): 90.00 90.00 90.00
With the nearest neighbours (Å) after each atom.
Space group I4mm (No. 107)
Symmetry-distinct sites (fractional):
Pr 0.0000 0.5000 0.0000 x4  10 Ge 3.12-3.22
Mn 0.0000 0.0000 0.2275 x2  5 Ge 2.46-2.48
Ge 0.0000 0.0000 0.9585 x2  1 Mn 2.46, 4 Ge 2.73
Ge 0.2168 0.2168 0.7432 x8  1 Mn 2.48, 3 Ge 2.68-2.73

---

Density functional theory data (PBE-GGA) for Nb3SBr after structural relaxation.

Results
The calculation puts the theoretical density at 6.40 g/cm3. The volume is 101 Å³/cell. The value obtained for the uncorrected formation energy is 0.4542 eV per atom. The value obtained for the energy above the most stable polymorph in this dataset is 0.0 meV/atom. As for the total energy: -6.75 eV/atom.

a b c (Å): 4.6631 4.6631 4.6631
angles (deg): 90.00 90.00 90.00
With the nearest neighbours (Å) after each atom.
Space group Pm-3m (No. 221)
Symmetry-distinct sites (fractional):
Nb 0.0000 0.0000 0.5000 x3  2 S 2.33
S 0.0000 0.0000 0.0000 x1  6 Nb 2.33
Br 0.5000 0.5000 0.5000 x1  12 Nb 3.30

---

Density functional theory data (PBE-GGA) for TaNiIr after structural relaxation.

Results
The calculation puts the theoretical density at 16.47 g/cm3. The formation energy comes out at -11.1 kcal/mol of atoms. The volume is 174 Å³/cell. The value obtained for the energy above the most stable polymorph in this dataset is 5.1 meV/atom. As for the total energy: -9.31 eV/atom.

a b c (Å): 5.5617 3.8596 8.1149
angles (deg): 90.00 90.00 90.00
With the nearest neighbours (Å) after each atom.
Space group Pnma (No. 62)
Symmetry-distinct sites (fractional):
Ta 0.1614 0.2500 0.0951 x4  4 Ni 2.62-2.67, 5 Ir 2.68-2.72
Ni 0.1316 0.2500 0.4172 x4  4 Ta 2.62-2.67, 5 Ir 2.72-2.80, 2 Ni 2.77
Ir 0.1090 0.2500 0.7624 x4  5 Ta 2.68-2.72, 5 Ni 2.72-2.80, 2 Ir 2.79

---

Density functional theory data (PBE-GGA) for KCrSe3 after structural relaxation.

Results
The calculation puts the theoretical density at 3.99 g/cm3. The volume is 547 Å³/cell. The value obtained for the uncorrected formation energy is -0.6023 eV per atom. The value obtained for the energy above the most stable polymorph in this dataset is 0.0 meV/atom. As for the total energy: -4.84 eV/atom.

a b c (Å): 11.3209 6.6527 8.1709
angles (deg): 90.00 117.37 90.00
With the nearest neighbours (Å) after each atom.
Space group C2/m (No. 12)
Symmetry-distinct sites (fractional):
K 0.1206 0.0000 0.3611 x4  9 Se 3.44-3.61
Cr 0.1668 0.5000 0.9963 x4  6 Se 2.46-2.47
Se 0.0729 0.5000 0.2155 x4  2 Cr 2.46-2.47
Se 0.1787 0.2477 0.7842 x8  2 Cr 2.46-2.47

---

Density functional theory data (PBE-GGA) for Sm2AuF after structural relaxation.

Results
The calculation puts the theoretical density at 6.59 g/cm3. The volume is 390 Å³/cell. The value obtained for the uncorrected formation energy is -1.5682 eV per atom. As for the total energy: -5.21 eV/atom.

a b c (Å): 4.5386 4.5386 21.8814
angles (deg): 90.00 90.00 120.00
With the nearest neighbours (Å) after each atom.
Space group R-3m (No. 166, hexagonal axes)
Symmetry-distinct sites (fractional):
Sm 0.0000 0.0000 0.1030 x6  1 F 2.25
Au 0.0000 0.0000 0.5000 x3  6 Sm 2.97
F 0.0000 0.0000 0.0000 x3  2 Sm 2.25

---

> Which of these has the lowest volume?

MgZrNb2N4

---

> The lowest volume belongs to which entry?

MgZrNb2N4

---

> The lowest theoretical density belongs to which entry?

KCrSe3

---

What did the second record say?
Density functional theory data (PBE-GGA) for Pr2MnGe5 after structural relaxation.

Results
The calculation puts the theoretical density at 6.65 g/cm3. The formation energy comes out at -8.9 kcal/mol of atoms. The volume is 350 Å³/cell. As for the total energy: -5.61 eV/atom.

a b c (Å): 6.1884 6.1884 9.1317
angles (deg): 90.00 90.00 90.00
With the nearest neighbours (Å) after each atom.
Space group I4mm (No. 107)
Symmetry-distinct sites (fractional):
Pr 0.0000 0.5000 0.0000 x4  10 Ge 3.12-3.22
Mn 0.0000 0.0000 0.2275 x2  5 Ge 2.46-2.48
Ge 0.0000 0.0000 0.9585 x2  1 Mn 2.46, 4 Ge 2.73
Ge 0.2168 0.2168 0.7432 x8  1 Mn 2.48, 3 Ge 2.68-2.73